(1)
PmDy5Ho5 | PBE | relaxed

a b c (Å): 6.830 8.284 9.456
angles (deg): 45.39 88.83 102.86
Atoms (fractional coordinates):
1 Ho 0.843 0.488 0.870
2 Ho 0.500 0.000 0.000
3 Ho 0.795 0.956 0.363
4 Ho 0.205 0.044 0.637
5 Ho 0.157 0.512 0.130
6 Dy 0.674 0.919 0.735
7 Dy 0.355 0.536 0.745
8 Dy 0.326 0.081 0.265
9 Dy 0.645 0.464 0.255
10 Dy 0.000 0.500 0.500
11 Pm 0.000 0.000 0.000

Results
Total moment (μB per formula unit): 0.00
Polymorph energy (0 for the lowest one) (eV/atom): 0.000
Energy relative to the elements (meV/atom): 145.5
Symmetry: P-1, No. 2



(2)
Pm7Dy3Ho2 | PBE | relaxed

a b c (Å): 4.647 5.503 16.428
angles (deg): 99.64 90.00 90.00
Atoms (fractional coordinates):
1 Dy 0.500 0.500 0.000
2 Dy 0.500 0.342 0.684
3 Dy 0.500 0.658 0.316
4 Pm 0.000 0.418 0.835
5 Pm 0.000 0.000 0.000
6 Pm 0.000 0.582 0.165
7 Pm 0.500 0.920 0.841
8 Pm 0.000 0.736 0.471
9 Pm 0.500 0.080 0.159
10 Pm 0.000 0.264 0.529
11 Ho 0.000 0.840 0.680
12 Ho 0.000 0.160 0.320

Results
Total moment (μB per formula unit): 0.00
Polymorph energy (0 for the lowest one) (eV/atom): 0.190
Energy relative to the elements (meV/atom): 262.2
Symmetry: Cmmm, No. 65



(3)
PmDy6Ho4 | PBE | relaxed

a b c (Å): 7.568 7.568 8.469
angles (deg): 116.54 116.54 90.00
Atoms (fractional coordinates):
1 Dy 0.073 0.073 0.628
2 Dy 0.554 0.554 0.628
3 Dy 0.500 0.000 0.000
4 Dy 0.446 0.927 0.372
5 Dy 0.927 0.446 0.372
6 Dy 0.000 0.500 0.000
7 Ho 0.086 0.758 0.844
8 Ho 0.914 0.914 0.156
9 Ho 0.242 0.242 0.156
10 Ho 0.758 0.086 0.844
11 Pm 0.500 0.500 0.000

Results
Total moment (μB per formula unit): 0.00
Polymorph energy (0 for the lowest one) (eV/atom): 0.309
Energy relative to the elements (meV/atom): 434.3
Symmetry: I-42m, No. 121



(4)
PmDy3Ho2 | PBE | relaxed

a b c (Å): 7.165 10.171 7.155
angles (deg): 79.92 119.91 121.85
Atoms (fractional coordinates):
1 Ho 0.696 0.335 0.139
2 Ho 0.697 0.336 0.640
3 Ho 0.304 0.665 0.861
4 Ho 0.303 0.664 0.360
5 Dy 0.196 0.335 0.639
6 Dy 0.749 0.000 0.250
7 Dy 0.804 0.665 0.361
8 Dy 0.251 0.000 0.750
9 Dy 0.804 0.664 0.861
10 Dy 0.196 0.336 0.139
11 Pm 0.750 0.000 0.750
12 Pm 0.250 0.000 0.250

Results
Total moment (μB per formula unit): 0.00
Polymorph energy (0 for the lowest one) (eV/atom): 0.000
Energy relative to the elements (meV/atom): -3.5
Symmetry: P-1, No. 2



(5)
PmDyHo3 | PBE | relaxed

a b c (Å): 9.593 5.647 6.285
angles (deg): 90.00 109.10 90.00
Atoms (fractional coordinates):
1 Ho 0.799 0.450 0.233
2 Ho 0.001 0.450 0.836
3 Ho 0.401 0.950 0.365
4 Ho 0.201 0.950 0.767
5 Ho 0.999 0.950 0.164
6 Ho 0.599 0.450 0.635
7 Pm 0.200 0.450 0.432
8 Pm 0.800 0.950 0.568
9 Dy 0.600 0.950 0.967
10 Dy 0.400 0.450 0.033

Results
Total moment (μB per formula unit): 0.00
Polymorph energy (0 for the lowest one) (eV/atom): 0.000
Energy relative to the elements (meV/atom): 10.5
Symmetry: P2_1/m, No. 11



(6)
Pm3Dy3Ho2 | PBE | relaxed

a b c (Å): 5.943 5.943 8.493
angles (deg): 110.50 110.48 90.00
Atoms (fractional coordinates):
1 Dy 0.875 0.374 0.749
2 Dy 0.125 0.626 0.251
3 Dy 0.000 0.000 0.000
4 Pm 0.500 0.500 0.000
5 Pm 0.372 0.872 0.744
6 Pm 0.628 0.128 0.256
7 Ho 0.751 0.751 0.502
8 Ho 0.249 0.249 0.498

Results
Total moment (μB per formula unit): 0.00
Polymorph energy (0 for the lowest one) (eV/atom): 0.105
Energy relative to the elements (meV/atom): 124.3
Symmetry: C2/m, No. 12



(7)
Pm6Dy2Ho | PBE | relaxed

a b c (Å): 6.221 10.097 10.097
angles (deg): 71.34 85.13 85.13
Atoms (fractional coordinates):
1 Dy 0.083 0.235 0.432
2 Dy 0.583 0.432 0.235
3 Dy 0.917 0.765 0.568
4 Dy 0.417 0.568 0.765
5 Ho 0.250 0.099 0.901
6 Ho 0.750 0.901 0.099
7 Pm 0.347 0.927 0.646
8 Pm 0.820 0.022 0.740
9 Pm 0.320 0.740 0.022
10 Pm 0.153 0.354 0.073
11 Pm 0.514 0.312 0.594
12 Pm 0.847 0.646 0.927
13 Pm 0.653 0.073 0.354
14 Pm 0.986 0.406 0.688
15 Pm 0.486 0.688 0.406
16 Pm 0.014 0.594 0.312
17 Pm 0.180 0.978 0.260
18 Pm 0.680 0.260 0.978

Results
Total moment (μB per formula unit): 0.00
Polymorph energy (0 for the lowest one) (eV/atom): 0.000
Energy relative to the elements (meV/atom): 84.5
Symmetry: C2/c, No. 15



(8)
Pm2Dy3Ho | PBE | relaxed

a b c (Å): 5.620 9.010 9.912
angles (deg): 123.22 90.00 108.17
Atoms (fractional coordinates):
1 Dy 0.614 0.229 0.656
2 Dy 0.712 0.424 0.427
3 Dy 0.386 0.771 0.344
4 Dy 0.043 0.086 0.384
5 Dy 0.957 0.914 0.616
6 Dy 0.288 0.576 0.573
7 Pm 0.234 0.467 0.877
8 Pm 0.766 0.533 0.123
9 Pm 0.494 0.988 0.144
10 Pm 0.506 0.012 0.856
11 Ho 0.869 0.739 0.871
12 Ho 0.131 0.261 0.129

Results
Total moment (μB per formula unit): 0.00
Polymorph energy (0 for the lowest one) (eV/atom): 0.045
Energy relative to the elements (meV/atom): 98.3
Symmetry: C2/m, No. 12